# 1
A geometry-optimized Na5Sr2Li5 structure. Source: Alexandria via LeMat-Bulk, functional GGA-PBE.

DFT total energy ... -18.63 eV for the cell shown
Theoretical density ... 1.35 g/cm3
Calculated formation energy ... 75 meV/atom
Crystal system ... orthorhombic
Energy above the most stable polymorph in this dataset ... 0.37 kcal/mol of atoms

The structure in CIF format:
```
data_Na5Sr2Li5
_symmetry_space_group_name_H-M 'P m m m'
_symmetry_Int_Tables_number 47
_symmetry_space_group_name_Hall '-P 2 2'
_cell_length_a 5.161
_cell_length_b 6.575
_cell_length_c 11.817
_cell_angle_alpha 90.00
_cell_angle_beta 90.00
_cell_angle_gamma 90.00
loop_
_atom_site_label
_atom_site_fract_x
_atom_site_fract_y
_atom_site_fract_z
Na1 0.000 0.000 0.000
Na2 0.500 0.000 0.179
Na3 0.500 0.500 0.333
Sr1 0.500 0.000 0.500
Sr2 0.500 0.500 0.000
Li1 0.000 0.250 0.262
Li2 0.000 0.500 0.500
```

=====

# 2
A geometry-optimized Rb2TaNiS4 structure. Source: Alexandria via LeMat-Bulk, functional GGA-PBE.

DFT total energy ... -355.96 eV for the cell shown
Theoretical density ... 3.82 g/cm3
Crystal system ... orthorhombic

The structure in CIF format:
```
data_Rb2TaNiS4
_symmetry_space_group_name_H-M 'F d d d'
_symmetry_Int_Tables_number 70
_cell_length_a 5.587
_cell_length_b 13.724
_cell_length_c 24.446
_cell_angle_alpha 90.00
_cell_angle_beta 90.00
_cell_angle_gamma 90.00
loop_
_symmetry_equiv_pos_as_xyz
'x,y,z'
'-x,-y,-z'
'-x+1/4,-y+1/4,z'
'x+1/4,y+1/4,-z'
'x,-y+1/4,-z+1/4'
'-x,y+1/4,z+1/4'
'-x+1/4,y,-z+1/4'
'x+1/4,-y,z+1/4'
'x,y+1/2,z+1/2'
'-x,-y+1/2,-z+1/2'
'-x+1/4,-y+3/4,z+1/2'
'x+1/4,y+3/4,-z+1/2'
'x,-y+3/4,-z+3/4'
'-x,y+3/4,z+3/4'
'-x+1/4,y+1/2,-z+3/4'
'x+1/4,-y+1/2,z+3/4'
'x+1/2,y,z+1/2'
'-x+1/2,-y,-z+1/2'
'-x+3/4,-y+1/4,z+1/2'
'x+3/4,y+1/4,-z+1/2'
'x+1/2,-y+1/4,-z+3/4'
'-x+1/2,y+1/4,z+3/4'
'-x+3/4,y,-z+3/4'
'x+3/4,-y,z+3/4'
'x+1/2,y+1/2,z'
'-x+1/2,-y+1/2,-z'
'-x+3/4,-y+3/4,z'
'x+3/4,y+3/4,-z'
'x+1/2,-y+3/4,-z+1/4'
'-x+1/2,y+3/4,z+1/4'
'-x+3/4,y+1/2,-z+1/4'
'x+3/4,-y+1/2,z+1/4'
loop_
_atom_site_label
_atom_site_fract_x
_atom_site_fract_y
_atom_site_fract_z
Rb1 0.125 0.125 0.302
Ta1 0.125 0.125 0.125
Ni1 0.125 0.125 0.625
S1 0.123 0.281 0.823
```

=====

# 3
A geometry-optimized AsPt3Pb structure. Source: Alexandria via LeMat-Bulk, functional GGA-PBE.

DFT total energy ... -25.78 eV for the cell shown
Theoretical density ... 13.35 g/cm3
Calculated formation energy ... 140 meV/atom
Crystal system ... cubic
Energy above the most stable polymorph in this dataset ... 0.00 kcal/mol of atoms

The structure in CIF format:
```
data_AsPt3Pb
_symmetry_space_group_name_H-M 'P m -3 m'
_symmetry_Int_Tables_number 221
_symmetry_space_group_name_Hall '-P 4 2 3'
_cell_length_a 4.760
_cell_length_b 4.760
_cell_length_c 4.760
_cell_angle_alpha 90.00
_cell_angle_beta 90.00
_cell_angle_gamma 90.00
loop_
_atom_site_label
_atom_site_fract_x
_atom_site_fract_y
_atom_site_fract_z
As1 0.000 0.000 0.000
Pt1 0.000 0.000 0.500
Pb1 0.500 0.500 0.500
```

=====

# 4
A geometry-optimized NaY2TlN structure. Source: Alexandria via LeMat-Bulk, functional GGA-PBE.

DFT total energy ... -28.05 eV for the cell shown
Theoretical density ... 6.25 g/cm3
Crystal system ... tetragonal

The structure in CIF format:
```
data_NaY2TlN
_symmetry_space_group_name_H-M 'P 4/m m m'
_symmetry_Int_Tables_number 123
_symmetry_space_group_name_Hall '-P 4 2'
_cell_length_a 4.780
_cell_length_b 4.780
_cell_length_c 4.871
_cell_angle_alpha 90.00
_cell_angle_beta 90.00
_cell_angle_gamma 90.00
loop_
_atom_site_label
_atom_site_fract_x
_atom_site_fract_y
_atom_site_fract_z
Na1 0.000 0.000 0.000
Y1 0.000 0.500 0.500
Tl1 0.500 0.500 0.000
N1 0.000 0.000 0.500
```

=====

# 5
A geometry-optimized KTl2MoOs structure. Source: Alexandria via LeMat-Bulk, functional GGA-PBE.

DFT total energy ... -17.76 eV for the cell shown
Theoretical density ... 7.03 g/cm3
Calculated formation energy ... 2026 meV/atom
Crystal system ... tetragonal

The structure in CIF format:
```
data_KTl2MoOs
_symmetry_space_group_name_H-M 'P 4/m m m'
_symmetry_Int_Tables_number 123
_symmetry_space_group_name_Hall '-P 4 2'
_cell_length_a 5.410
_cell_length_b 5.410
_cell_length_c 5.927
_cell_angle_alpha 90.00
_cell_angle_beta 90.00
_cell_angle_gamma 90.00
loop_
_atom_site_label
_atom_site_fract_x
_atom_site_fract_y
_atom_site_fract_z
K1 0.000 0.000 0.000
Tl1 0.000 0.500 0.500
Mo1 0.000 0.000 0.500
Os1 0.500 0.500 0.000
```

=====

# 6
A geometry-optimized NaNbF2 structure. Source: Alexandria via LeMat-Bulk, functional GGA-PBE.

DFT total energy ... -80.02 eV for the cell shown
Theoretical density ... 4.04 g/cm3
Crystal system ... tetragonal
Energy above the most stable polymorph in this dataset ... 17.51 kcal/mol of atoms

The structure in CIF format:
```
data_NaNbF2
_symmetry_space_group_name_H-M 'I -4 2 d'
_symmetry_Int_Tables_number 122
_symmetry_space_group_name_Hall 'I -4 2bw'
_cell_length_a 5.495
_cell_length_b 5.495
_cell_length_c 8.386
_cell_angle_alpha 90.00
_cell_angle_beta 90.00
_cell_angle_gamma 90.00
loop_
_atom_site_label
_atom_site_fract_x
_atom_site_fract_y
_atom_site_fract_z
Na1 0.000 0.000 0.000
Nb1 0.000 0.000 0.500
F1 0.235 0.250 0.125
```